Computed, not measured: a relaxed TeSe5 crystal at the PBE level of DFT.

The structure in POSCAR format:
```
TeSe5
1.0
5.221 -2.109 0.000
5.221 2.109 0.000
-1.746 0.000 7.708
Te Se
1 5
Direct
0.000 0.000 0.000
0.090 0.090 0.340
0.322 0.322 0.347
0.418 0.418 0.670
0.656 0.656 0.686
0.744 0.744 0.002
```

As for the space-group type: Cm (8). The density is 5.1 g/cm3. As for the density of states at the Fermi level: 1.19 states/eV per cell. The formation energy without anion corrections comes out at 162 meV per atom. The total energy is -3.266 eV/atom. For the energy above the lowest structure with this stoichiometry, the calculation gives 0.000 eV/atom.

Computed, not measured: a relaxed YBi2Ir2 crystal at the PBE level of DFT.

The structure in POSCAR format:
```
YBi2Ir2
1.0
7.433 0.000 0.000
0.000 7.433 0.000
0.000 0.000 4.109
Y Bi Ir
2 4 4
Direct
0.000 0.000 0.000
0.500 0.500 0.000
0.172 0.328 0.500
0.328 0.828 0.500
0.672 0.172 0.500
0.828 0.672 0.500
0.128 0.628 0.000
0.372 0.128 0.000
0.628 0.872 0.000
0.872 0.372 0.000
```

As for the space-group type: P4/mbm (127). The density is 13.0 g/cm3. As for the formation energy: -0.09 eV per atom. As for the density of states at the Fermi level: 7.38 states/eV per cell. The total energy is -6.481 eV/atom. For the energy above the lowest structure with this stoichiometry, the calculation gives 0.000 eV/atom.

Computed, not measured: a relaxed Sm3B9C2 crystal at the PBE level of DFT.

The structure in POSCAR format:
```
Sm3B9C2
1.0
-1.584 4.804 5.489
1.584 -4.804 5.489
1.584 4.804 -5.489
Sm B C
3 9 2
Direct
0.000 0.000 0.000
0.322 0.322 0.000
0.678 0.678 0.000
0.037 0.787 0.250
0.074 0.366 0.708
0.341 0.634 0.708
0.463 0.213 0.250
0.500 0.000 0.500
0.537 0.787 0.750
0.659 0.366 0.292
0.926 0.634 0.292
0.963 0.213 0.750
0.215 0.500 0.715
0.785 0.500 0.285
```

As for the space-group type: Immm (71). The density is 5.7 g/cm3. As for the formation energy: 0.28 eV per atom. As for the density of states at the Fermi level: 4.26 states/eV per cell. The total energy is -6.337 eV/atom.

Computed, not measured: a relaxed MgPaTlAg crystal at the PBE level of DFT.

The structure in POSCAR format:
```
MgPaTlAg
1.0
0.000 3.616 3.616
3.616 0.000 3.616
3.616 3.616 0.000
Mg Pa Tl Ag
1 1 1 1
Direct
0.000 0.000 0.000
0.500 0.500 0.500
0.750 0.750 0.750
0.250 0.250 0.250
```

As for the space-group type: F-43m (216). The density is 10.0 g/cm3. As for the formation energy: 0.13 eV per atom. As for the density of states at the Fermi level: 5.07 states/eV per cell. The total energy is -3.951 eV/atom.

Computed, not measured: a relaxed CsZn3Mo crystal at the PBE level of DFT.

The structure in POSCAR format:
```
CsZn3Mo
1.0
5.238 0.000 0.000
0.000 5.238 0.000
0.000 0.000 5.238
Cs Zn Mo
1 3 1
Direct
0.000 0.000 0.000
0.000 0.500 0.500
0.500 0.000 0.500
0.500 0.500 0.000
0.500 0.500 0.500
```

As for the space-group type: Pm-3m (221). The density is 4.9 g/cm3. As for the formation energy: 0.64 eV per atom. As for the density of states at the Fermi level: 5.38 states/eV per cell. The total energy is -2.463 eV/atom. For the energy above the lowest structure with this stoichiometry, the calculation gives 0.000 eV/atom.

Computed, not measured: a relaxed B4Ir2Rh5 crystal at the PBE level of DFT.

The structure in POSCAR format:
```
B4Ir2Rh5
1.0
6.197 -1.407 0.000
6.197 1.407 0.000
-1.095 0.000 7.908
B Ir Rh
4 2 5
Direct
0.055 0.055 0.200
0.295 0.295 0.323
0.705 0.705 0.677
0.945 0.945 0.800
0.472 0.472 0.331
0.528 0.528 0.669
0.159 0.159 0.441
0.188 0.188 0.872
0.500 0.500 0.000
0.812 0.812 0.128
0.841 0.841 0.559
```

As for the space-group type: C2/m (12). The density is 11.3 g/cm3. As for the formation energy: -0.03 eV per atom. As for the density of states at the Fermi level: 7.92 states/eV per cell. The total energy is -7.414 eV/atom.